No. 1
The following is a PBE calculation of an optimized crystal structure of Pm6IrN, from Alexandria.

Unit cell a=6.585 b=6.818 c=6.418 alpha=57.91 beta=80.87 gamma=72.61
Positions (direct):
Pm (0.257, 0.857, 0.679)
Pm (0.257, 0.536, 0.321)
Pm (0.285, 0.239, 0.000)
Pm (0.715, 0.761, 0.000)
Pm (0.743, 0.464, 0.679)
Pm (0.743, 0.143, 0.321)
N (0.500, 0.500, 0.000)
Ir (0.000, 0.000, 0.000)

Results
Space-group type: C2/m
Formation energy from raw total energies in eV per formula unit: -3.89

---

No. 2
The following is a PBE calculation of an optimized crystal structure of TbNdYZn, from Alexandria.

Unit cell a=3.603 b=3.603 c=8.750 alpha=90.00 beta=90.00 gamma=90.00
Positions (direct):
Y (0.500, 0.500, 0.773)
Nd (0.000, 0.000, 0.072)
Tb (0.500, 0.500, 0.368)
Zn (0.000, 0.000, 0.572)

Results
Energy of formation from the pure elements in meV/atom: -166
Space-group type: P4mm

---

No. 3
The following is a PBE calculation of an optimized crystal structure of Tb3SnB2Rh9, from Alexandria.

Unit cell a=5.860 b=5.860 c=8.786 alpha=90.00 beta=90.00 gamma=120.00
Positions (direct):
B (0.333, 0.667, 0.145)
B (0.667, 0.333, 0.855)
Rh (0.837, 0.163, 0.731)
Rh (0.163, 0.837, 0.269)
Rh (0.500, 0.000, 0.000)
Rh (0.000, 0.500, 0.000)
Rh (0.837, 0.673, 0.731)
Rh (0.500, 0.500, 0.000)
Rh (0.327, 0.163, 0.731)
Rh (0.673, 0.837, 0.269)
Rh (0.163, 0.327, 0.269)
Sn (0.000, 0.000, 0.500)
Tb (0.667, 0.333, 0.319)
Tb (0.000, 0.000, 0.000)
Tb (0.333, 0.667, 0.681)

Results
Energy of formation from the pure elements in meV/atom: -591
Space-group type: P-3m1

---

No. 4
The following is a PBE calculation of an optimized crystal structure of AlNi6Sb, from Alexandria.

Unit cell a=3.655 b=3.655 c=7.266 alpha=90.00 beta=90.00 gamma=90.00
Positions (direct):
Ni (0.500, 0.500, 0.500)
Ni (0.500, 0.500, 0.000)
Ni (0.500, 0.000, 0.739)
Ni (0.500, 0.000, 0.261)
Ni (0.000, 0.500, 0.739)
Ni (0.000, 0.500, 0.261)
Al (0.000, 0.000, 0.500)
Sb (0.000, 0.000, 0.000)

Results
Space-group type: P4/mmm
Formation energy from raw total energies in eV per formula unit: -2.42

---

No. 5
The following is a PBE calculation of an optimized crystal structure of NiTeSN2, from Alexandria.

Unit cell a=3.852 b=3.852 c=5.496 alpha=90.00 beta=90.00 gamma=90.00
Last column: magnetic moment on the atom in μB.
Positions (direct):
N (0.500, 0.000, 0.000)  0.08
N (0.000, 0.500, 0.000)  0.08
Ni (0.500, 0.500, 0.500)  1.12
Te (0.000, 0.000, 0.000)  -0.01
S (0.000, 0.000, 0.500)  0.09

Results
Space-group type: P4/mmm
Formation energy from raw total energies in eV per formula unit: 8.02

---

No. 6
The following is a PBE calculation of an optimized crystal structure of NiB2Pt, from Alexandria.

Unit cell a=3.798 b=3.798 c=3.798 alpha=60.00 beta=60.00 gamma=60.00
Positions (direct):
Pt (0.500, 0.500, 0.500)
B (0.250, 0.250, 0.250)
B (0.750, 0.750, 0.750)
Ni (0.000, 0.000, 0.000)

Results
Energy of formation from the pure elements in meV/atom: 365
Space-group type: Fm-3m